VASP calculation (PBE-GGA) on an optimized crystal structure of NpTl2Cl3O3.

a b c (Å): 3.2827 8.2794 8.2794
angles (deg): 120.00 90.00 90.00
Last column: nearest neighbours and their distance in Å.
Positions (direct):
Np 0.0000 0.0000 0.0000  6 O 2.15
Tl 0.5000 0.3333 0.6667  6 Cl 3.09, 2 Tl 3.28
Tl 0.5000 0.6667 0.3333  6 Cl 3.09, 2 Tl 3.28
Cl 0.0000 0.0000 0.3712  1 Np 3.07, 4 Tl 3.09, 4 O 3.13, 2 Cl 3.28
Cl 0.0000 0.6288 0.6288  1 Np 3.07, 4 Tl 3.09, 4 O 3.13, 2 Cl 3.28
Cl 0.0000 0.3712 0.0000  1 Np 3.07, 4 Tl 3.09, 4 O 3.13, 2 Cl 3.28
O 0.5000 0.8327 0.0000  2 Np 2.15, 2 O 2.40
O 0.5000 0.1673 0.1673  2 Np 2.15, 2 O 2.40
O 0.5000 0.0000 0.8327  2 Np 2.15, 2 O 2.40

Final energy = -50.43 eV per cell
Energy relative to the elements, uncorrected = -12.34 eV/f.u.